Entry i
Entry from Alexandria: a relaxed structure of Er8AlZn2 (GGA-PBE).

Cell lengths 8.6360, 13.8480, 5.2791 Å; angles 90.00, 109.35, 90.00 degrees
Last column: nearest neighbours and their distance in Å.
Space group C2/m (No. 12)
Asymmetric unit:
Er 0.0000 0.2268 0.0000 x4  2 Zn 2.87, 1 Al 3.14
Er 0.1112 0.5000 0.8061 x4  2 Zn 3.10, 4 Er 3.17-3.44, 1 Al 3.17
Er 0.2058 0.1201 0.6002 x8  2 Zn 2.94-3.09
Al 0.0000 0.0000 0.0000 x2  8 Er 3.14-3.50
Zn 0.0000 0.3075 0.5000 x4  8 Er 2.87-3.10

- crystal system = monoclinic
- Fermi-level density of states (states/eV/f.u.) = 13.93


Entry ii
Entry from Alexandria: a relaxed structure of Er8AlZn2 (GGA-PBE).

Cell lengths 4.8814, 8.2097, 14.3720 Å; angles 90.00, 90.00, 90.00 degrees
Last column: nearest neighbours and their distance in Å.
Space group Immm (No. 71)
Asymmetric unit:
Er 0.0000 0.0000 0.1372 x4  2 Al 3.14, 8 Er 3.23-3.40, 2 Zn 3.42
Er 0.0000 0.2196 0.3377 x8  3 Zn 3.07-3.08, 1 Al 3.28, 5 Er 3.37-3.40
Er 0.0000 0.3122 0.0000 x4  7 Er 3.08-3.39, 2 Zn 3.21
Al 0.0000 0.5000 0.5000 x2  8 Er 3.14-3.28
Zn 0.0000 0.5000 0.1956 x4  10 Er 3.07-3.42

- crystal system = orthorhombic
- Fermi-level density of states (states/eV/f.u.) = 10.49


Energy above the most stable structure, in eV/atom: entry i 0.038; entry ii 0.000